Entry 1:
Compound: BaCr2PdO8
Source: Alexandria via LeMat-Bulk
Functional: PBE with a Hubbard U
Structure: relaxed

Geometry as POSCAR:
```
BaCr2PdO8
1.0
-3.0241 -3.2220 -3.0454
4.6694 1.8624 -1.8786
3.5619 -6.0458 2.8595
Ba Cr Pd O
1 2 1 8
direct
0.0000 0.0000 0.0000
0.6667 0.3333 0.2536
0.3333 0.6667 0.7464
0.0000 0.0000 0.5000
0.3333 0.6667 0.9655
0.3369 0.2576 0.3190
0.7424 0.0793 0.3190
0.6667 0.3333 0.0345
0.2576 0.9207 0.6810
0.6631 0.7424 0.6810
0.0793 0.3369 0.6810
0.9207 0.6631 0.3190
```

---

Entry 2:
Compound: BaPmCr2O8
Source: Alexandria via LeMat-Bulk
Functional: PBE with a Hubbard U
Structure: relaxed

Geometry as POSCAR:
```
BaPmCr2O8
1.0
-1.3326 -2.6559 -4.9244
5.2140 2.3268 0.6928
2.6074 -6.7102 2.9134
Ba Pm Cr O
1 1 2 8
direct
0.0000 0.0000 0.0000
0.0000 0.0000 0.5000
0.6667 0.3333 0.2250
0.3333 0.6667 0.7750
0.3333 0.6667 0.9878
0.3429 0.1728 0.2961
0.8272 0.1701 0.2961
0.6667 0.3333 0.0122
0.1728 0.8299 0.7039
0.6571 0.8272 0.7039
0.1701 0.3429 0.7039
0.8299 0.6571 0.2961
```

---

Entry 3:
Compound: Ba2PmCrO6
Source: Alexandria via LeMat-Bulk
Functional: PBE with a Hubbard U
Structure: relaxed

Geometry as POSCAR:
```
Ba2PmCrO6
1.0
-3.1678 4.8157 0.4648
-2.3679 -2.0505 5.1058
5.0089 3.2826 0.1276
Ba Pm Cr O
2 1 1 6
direct
0.1316 0.3333 0.6667
0.8684 0.6667 0.3333
0.5000 0.0000 0.0000
0.0000 0.0000 0.0000
0.8053 0.1494 0.2988
0.8053 0.1494 0.8506
0.8053 0.7012 0.8506
0.1947 0.8506 0.1494
0.1947 0.2988 0.1494
0.1947 0.8506 0.7012
```

---

Computed final energy, in the same sequence as the records: -6.53 -7.18 -6.88 eV per atom.